Record 1
NaHfS2 | PBE | relaxed

Lattice parameters (Å, degrees): 7.2962 7.2962 7.2962 28.75 28.75 28.75
Element x y z (fractional)
1 Na 0.0000 0.0000 0.0000
2 Hf 0.1690 0.1690 0.1690
3 S 0.5752 0.5752 0.5752
4 S 0.7626 0.7626 0.7626

Summary:
- Space-group type: R3m
- Calculated density: 5.55 g/cm³
- Size of the total moment: 0.0 Bohr magnetons per cell
- Total energy: -25.304 eV for the cell shown


Record 2
NaAuF2 | PBE | relaxed

Lattice parameters (Å, degrees): 5.6119 5.6119 5.6119 115.08 115.08 98.76
Element x y z (fractional)
1 Na 0.0000 0.0000 0.0000
2 Na 0.7500 0.2500 0.5000
3 Au 0.2500 0.7500 0.5000
4 Au 0.5000 0.5000 0.0000
5 F 0.1010 0.6250 0.9760
6 F 0.3750 0.3510 0.4760
7 F 0.6490 0.1250 0.0240
8 F 0.8750 0.8990 0.5240

Summary:
- Space-group type: I-42d
- Calculated density: 6.46 g/cm³
- Size of the total moment: 0.0 Bohr magnetons per cell
- Total energy: -27.859 eV for the cell shown


Record 3
BaVMoCl2 | PBE | relaxed

Lattice parameters (Å, degrees): 5.0426 5.0426 4.9051 90.00 90.00 90.00
Element x y z (fractional)
1 Ba 0.0000 0.0000 0.0000
2 V 0.5000 0.5000 0.5000
3 Mo 0.5000 0.5000 0.0000
4 Cl 0.0000 0.5000 0.5000
5 Cl 0.5000 0.0000 0.5000

Summary:
- Space-group type: P4/mmm
- Calculated density: 4.73 g/cm³
- Size of the total moment: 1.0 Bohr magnetons per cell
- Total energy: -25.945 eV for the cell shown


Record 4
La5ErSn4 | PBE | relaxed

Lattice parameters (Å, degrees): 8.8939 8.8939 7.3597 91.20 91.20 35.94
Element x y z (fractional)
1 La 0.0000 0.0000 0.0000
2 La 0.3324 0.3324 0.4922
3 La 0.3351 0.3351 0.9988
4 La 0.6649 0.6649 0.0012
5 La 0.6676 0.6676 0.5078
6 Er 0.0000 0.0000 0.5000
7 Sn 0.1711 0.1711 0.7482
8 Sn 0.4931 0.4931 0.7360
9 Sn 0.5069 0.5069 0.2640
10 Sn 0.8289 0.8289 0.2517

Summary:
- Space-group type: C2/m
- Calculated density: 6.50 g/cm³
- Size of the total moment: 0.0 Bohr magnetons per cell
- ΔE_f: -582 meV per atom


Please write out number 3 again, unchanged.
BaVMoCl2 | PBE | relaxed

Lattice parameters (Å, degrees): 5.0426 5.0426 4.9051 90.00 90.00 90.00
Element x y z (fractional)
1 Ba 0.0000 0.0000 0.0000
2 V 0.5000 0.5000 0.5000
3 Mo 0.5000 0.5000 0.0000
4 Cl 0.0000 0.5000 0.5000
5 Cl 0.5000 0.0000 0.5000

Summary:
- Space-group type: P4/mmm
- Calculated density: 4.73 g/cm³
- Size of the total moment: 1.0 Bohr magnetons per cell
- Total energy: -25.945 eV for the cell shown


Number 3 is which compound? BaVMoCl2


What is the formula in the third record? BaVMoCl2